(1)
{
  "formula": "Dy4P3Se",
  "functional": "PBE",
  "state": "relaxed",
  "e_form_raw_ev_per_atom": -1.71,
  "crystal_system": "tetragonal",
  "polymorph_energy_mev_per_atom": 0,
  "total_energy_ev_per_cell": -51.80,
  "lattice_angstrom": [[-2.336, 1.531, -4.956], [-1.335, -5.430, -1.048], [-3.178, 2.682, 5.591]],
  "species": ["Dy", "Dy", "Dy", "Dy", "P", "P", "P", "Se"],
  "frac_coords": [[0.257, 0.257, 0.515], [0.743, 0.743, 0.485], [0.000, 0.500, 0.000], [0.500, 0.000, 0.000], [0.500, 0.500, 0.000], [0.750, 0.250, 0.500], [0.250, 0.750, 0.500], [0.000, 0.000, 0.000]]
}

=====

(2)
{
  "formula": "TbPm2MnS5",
  "functional": "PBE",
  "state": "relaxed",
  "e_form_raw_ev_per_atom": -1.72,
  "crystal_system": "orthorhombic",
  "total_energy_ev_per_cell": -118.77,
  "lattice_angstrom": [[-0.052, 2.591, 2.930], [-8.162, -2.316, -0.706], [1.826, -8.823, 7.835]],
  "species": ["Tb", "Tb", "S", "S", "S", "S", "S", "S", "S", "S", "S", "S", "Pm", "Pm", "Pm", "Pm", "Mn", "Mn"],
  "frac_coords": [[0.817, 0.634, 0.525], [0.183, 0.366, 0.025], [0.699, 0.399, 0.187], [0.313, 0.627, 0.359], [0.301, 0.601, 0.687], [0.015, 0.030, 0.021], [0.507, 0.014, 0.252], [0.687, 0.373, 0.859], [0.654, 0.307, 0.517], [0.985, 0.970, 0.521], [0.493, 0.986, 0.752], [0.346, 0.693, 0.017], [0.119, 0.237, 0.692], [0.881, 0.763, 0.192], [0.878, 0.756, 0.844], [0.122, 0.244, 0.344], [0.550, 0.099, 0.926], [0.450, 0.901, 0.426]]
}

=====

(3)
{
  "formula": "Tm2AlGa4",
  "functional": "PBE",
  "state": "relaxed",
  "crystal_system": "orthorhombic",
  "e_form_kcal_per_mol_atoms": -9.22,
  "polymorph_energy_mev_per_atom": 0,
  "total_energy_ev_per_cell": -27.59,
  "lattice_angstrom": [[-4.057, 0.892, -0.107], [-1.058, -5.142, -2.722], [-0.796, -3.015, 5.024]],
  "species": ["Tm", "Tm", "Ga", "Ga", "Ga", "Ga", "Al"],
  "frac_coords": [[0.000, 0.232, 0.768], [0.000, 0.768, 0.232], [0.500, 0.000, 0.500], [0.500, 0.500, 0.000], [0.000, 0.741, 0.741], [0.000, 0.259, 0.259], [0.500, 0.500, 0.500]]
}

=====

(4)
{
  "formula": "BaMgBe",
  "functional": "PBE",
  "state": "relaxed",
  "crystal_system": "cubic",
  "e_form_kcal_per_mol_atoms": 22.58,
  "polymorph_energy_mev_per_atom": 795,
  "total_energy_ev_per_cell": -4.31,
  "lattice_angstrom": [[5.405, 0.000, 0.000], [2.702, 4.681, 0.000], [2.702, 1.560, 4.413]],
  "species": ["Be", "Mg", "Ba"],
  "frac_coords": [[0.000, 0.000, 0.000], [0.500, 0.500, 0.500], [0.750, 0.750, 0.750]]
}